A plane-wave DFT calculation with PBE-GGA was carried out for a relaxed structure of Tm3Al7Au2.

SG = P2/m
Energy of formation from the pure elements = -0.520 eV per atom
E_tot = -4.3676 eV/atom
Magnetic moment = 0.000 μB per formula unit

a b c (Å): 4.2494 4.1879 13.6131
angles (deg): 90.00 98.97 90.00
Element x y z (fractional)
Tm 0.0000 0.0000 0.0000
Tm 0.3159 0.5000 0.6316
Tm 0.6841 0.5000 0.3684
Al 0.0797 0.5000 0.1584
Al 0.2255 0.0000 0.4511
Al 0.4211 0.0000 0.8410
Al 0.5000 0.5000 0.0000
Al 0.5789 0.0000 0.1590
Al 0.7745 0.0000 0.5489
Al 0.9203 0.5000 0.8416
Au 0.1321 0.0000 0.2670
Au 0.8679 0.0000 0.7330